No. 1
# MnFe6Ni8 GGA-PBE optimized geometry
data_MnFe6Ni8
_chemical_formula_sum 'Mn1 Fe6 Ni8'
_cell_length_a 9.1640
_cell_length_b 9.1640
_cell_length_c 2.5184
_cell_angle_alpha 90.00
_cell_angle_beta 90.00
_cell_angle_gamma 120.00
_symmetry_space_group_name_H-M 'P -3'
_symmetry_Int_Tables_number 147
loop_
_symmetry_equiv_pos_as_xyz
'x,y,z'
'-x,-y,-z'
'-y,x-y,z'
'y,-x+y,-z'
'-x+y,-x,z'
'x-y,x,-z'
loop_
_atom_site_label
_atom_site_fract_x
_atom_site_fract_y
_atom_site_fract_z
Mn1 0.0000 0.0000 0.0000
Fe1 0.0953 0.4699 0.2325
Ni1 0.0781 0.7923 0.2868
Ni2 0.3333 0.6667 0.7334
# E_form, eV per atom: 0.23
# E_tot, eV for the cell shown: -102.742
# Mass density, g/cm³: 7.8

No. 2
# Mn2FeNi GGA-PBE optimized geometry
data_Mn2FeNi
_chemical_formula_sum 'Mn4 Fe2 Ni2'
_cell_length_a 2.738
_cell_length_b 4.087
_cell_length_c 8.126
_cell_angle_alpha 90.00
_cell_angle_beta 90.00
_cell_angle_gamma 90.00
_symmetry_space_group_name_H-M 'I m m m'
_symmetry_Int_Tables_number 71
_symmetry_space_group_name_Hall '-I 2 2'
loop_
_atom_site_label
_atom_site_fract_x
_atom_site_fract_y
_atom_site_fract_z
Mn1 0.000 0.000 0.243
Fe1 0.000 0.500 0.500
Ni1 0.000 0.500 0.000
# E_form, eV per atom: 0.18
# Energy above the most stable polymorph in this dataset, kJ per mole of atoms: 21.3
# E_tot, eV for the cell shown: -63.748
# Mass density, g/cm³: 8.2

No. 3
# Mn2FeNi GGA-PBE optimized geometry
data_Mn2FeNi
_chemical_formula_sum 'Mn8 Fe4 Ni4'
_cell_length_a 3.388
_cell_length_b 3.388
_cell_length_c 16.676
_cell_angle_alpha 90.00
_cell_angle_beta 90.00
_cell_angle_gamma 90.00
_symmetry_space_group_name_H-M 'I -4 2 d'
_symmetry_Int_Tables_number 122
_symmetry_space_group_name_Hall 'I -4 2bw'
loop_
_atom_site_label
_atom_site_fract_x
_atom_site_fract_y
_atom_site_fract_z
Mn1 0.218 0.250 0.125
Fe1 0.000 0.000 0.500
Ni1 0.000 0.000 0.000
# E_form, eV per atom: 0.54
# Energy above the most stable polymorph in this dataset, kJ per mole of atoms: 56.4
# E_tot, eV for the cell shown: -121.672
# Mass density, g/cm³: 7.8

No. 4
# Mn2FeNi GGA-PBE optimized geometry
data_Mn2FeNi
_chemical_formula_sum 'Mn8 Fe4 Ni4'
_cell_length_a 5.744
_cell_length_b 5.744
_cell_length_c 5.744
_cell_angle_alpha 90.00
_cell_angle_beta 90.00
_cell_angle_gamma 90.00
_symmetry_space_group_name_H-M 'F m -3 m'
_symmetry_Int_Tables_number 225
_symmetry_space_group_name_Hall '-F 4 2 3'
loop_
_atom_site_label
_atom_site_fract_x
_atom_site_fract_y
_atom_site_fract_z
Mn1 0.250 0.250 0.250
Fe1 0.000 0.000 0.000
Ni1 0.000 0.000 0.500
# E_form, eV per atom: 0.09
# Energy above the most stable polymorph in this dataset, kJ per mole of atoms: 12.7
# E_tot, eV for the cell shown: -128.932
# Mass density, g/cm³: 7.9

No. 5
# Mn2FeNi GGA-PBE optimized geometry
data_Mn2FeNi
_chemical_formula_sum 'Mn2 Fe1 Ni1'
_cell_length_a 2.443
_cell_length_b 4.051
_cell_length_c 4.615
_cell_angle_alpha 90.00
_cell_angle_beta 98.14
_cell_angle_gamma 90.00
_symmetry_space_group_name_H-M 'P 1 2/m 1'
_symmetry_Int_Tables_number 10
loop_
_symmetry_equiv_pos_as_xyz
'x,y,z'
'-x,-y,-z'
'-x,y,-z'
'x,-y,z'
loop_
_atom_site_label
_atom_site_fract_x
_atom_site_fract_y
_atom_site_fract_z
Mn1 0.231 0.000 0.256
Fe1 0.000 0.500 0.500
Ni1 0.500 0.500 0.000
# E_form, eV per atom: 0.16
# Energy above the most stable polymorph in this dataset, kJ per mole of atoms: 20.0
# E_tot, eV for the cell shown: -31.930
# Mass density, g/cm³: 8.2

No. 6
# Mn2FeNi GGA-PBE optimized geometry
data_Mn2FeNi
_chemical_formula_sum 'Mn2 Fe1 Ni1'
_cell_length_a 2.511
_cell_length_b 2.511
_cell_length_c 7.135
_cell_angle_alpha 90.00
_cell_angle_beta 90.00
_cell_angle_gamma 90.00
_symmetry_space_group_name_H-M 'P 4 m m'
_symmetry_Int_Tables_number 99
loop_
_symmetry_equiv_pos_as_xyz
'x,y,z'
'-y,x,z'
'-x,-y,z'
'y,-x,z'
'-x,y,z'
'y,x,z'
'x,-y,z'
'-y,-x,z'
loop_
_atom_site_label
_atom_site_fract_x
_atom_site_fract_y
_atom_site_fract_z
Mn1 0.000 0.000 0.000
Mn2 0.500 0.500 0.247
Fe1 0.500 0.500 0.751
Ni1 0.000 0.000 0.501
# E_form, eV per atom: 0.03
# Energy above the most stable polymorph in this dataset, kJ per mole of atoms: 7.3
# E_tot, eV for the cell shown: -32.454
# Mass density, g/cm³: 8.3

The highest E_tot belongs to which entry? number 5

Which of these has the lowest E_tot? number 4